Entry 1:
The following is a DFT calculation (GGA-PBE) of an optimized crystal structure of Ac4Cu2C.

Output
As for the formation energy from the elements: 0.1026 eV per atom. The total energy comes out at -33.132 eV per formula unit. Its symmetry is No. 139.

a = 5.419 Å, b = 5.419 Å, c = 8.327 Å
α = 108.99°, β = 108.99°, γ = 90.00°
Fractional coordinates of all 7 atoms:
C  0.000  0.000  0.000
Ac  0.184  0.184  0.368
Ac  0.000  0.500  0.000
Ac  0.816  0.816  0.632
Ac  0.500  0.000  0.000
Cu  0.386  0.386  0.772
Cu  0.614  0.614  0.228

---

Entry 2:
The following is a DFT calculation (GGA-PBE) of an optimized crystal structure of Ac4CuCI2.

Output
As for the uncorrected formation energy: -0.51 eV per atom. The total energy comes out at -36.935 eV per formula unit. Its symmetry is No. 10.

a = 4.200 Å, b = 7.614 Å, c = 8.727 Å
α = 106.32°, β = 90.00°, γ = 90.00°
Fractional coordinates of all 8 atoms:
C  0.500  0.500  0.000
I  0.000  0.500  0.500
I  0.500  0.000  0.500
Ac  0.500  0.748  0.815
Ac  0.000  0.701  0.182
Ac  0.500  0.252  0.185
Ac  0.000  0.299  0.818
Cu  0.000  0.000  0.000

---

Entry 3:
The following is a DFT calculation (GGA-PBE) of an optimized crystal structure of AcCuCO4.

Output
As for the uncorrected formation energy: -1.70 eV per atom. The total energy comes out at -49.191 eV per formula unit. Its symmetry is No. 74.

a = 5.273 Å, b = 6.401 Å, c = 6.401 Å
α = 84.14°, β = 65.68°, γ = 65.68°
Fractional coordinates of all 14 atoms:
O  0.678  0.708  0.935
O  0.678  0.435  0.208
O  0.290  0.228  0.728
O  0.754  0.228  0.728
O  0.322  0.292  0.065
O  0.710  0.772  0.272
O  0.246  0.772  0.272
O  0.322  0.565  0.792
Cu  0.000  0.000  0.500
Cu  0.500  0.000  0.500
C  0.598  0.652  0.152
C  0.402  0.348  0.848
Ac  0.000  0.000  0.000
Ac  0.000  0.500  0.500

---

Entry 4:
The following is a DFT calculation (GGA-PBE) of an optimized crystal structure of AcCu2C2O7.

Output
As for the uncorrected formation energy: -1.43 eV per atom. The total energy comes out at -82.622 eV per formula unit. Its symmetry is No. 155.

a = 4.980 Å, b = 4.980 Å, c = 9.716 Å
α = 75.15°, β = 75.15°, γ = 60.00°
Site moments in Bohr magnetons follow the coordinates.
Fractional coordinates of all 12 atoms:
Cu  0.437  0.437  0.689  0.28
Cu  0.563  0.563  0.311  0.28
O  0.508  0.010  0.845  0.01
O  0.637  0.508  0.845  0.01
O  0.363  0.990  0.155  0.01
O  0.500  0.500  0.500  0.36
O  0.492  0.363  0.155  0.01
O  0.990  0.492  0.155  0.01
O  0.010  0.637  0.845  0.01
C  0.720  0.720  0.841  0.00
C  0.280  0.280  0.159  0.00
Ac  0.000  0.000  0.000  0.00

---

Entry 5:
The following is a DFT calculation (GGA-PBE) of an optimized crystal structure of AcDy2C.

Output
As for the formation energy from the elements: -0.0752 eV per atom. The total energy comes out at -22.837 eV per formula unit. Its symmetry is No. 166.

a = 3.611 Å, b = 3.611 Å, c = 10.387 Å
α = 79.99°, β = 79.99°, γ = 60.00°
Fractional coordinates of all 4 atoms:
Ac  0.000  0.000  0.000
Dy  0.123  0.123  0.631
Dy  0.877  0.877  0.369
C  0.500  0.500  0.500

---

Entry 6:
The following is a DFT calculation (GGA-PBE) of an optimized crystal structure of Ac2DyC2N6.

Output
As for the uncorrected formation energy: -0.82 eV per atom. The total energy comes out at -90.256 eV per formula unit. Its symmetry is No. 12.

a = 5.427 Å, b = 5.569 Å, c = 6.674 Å
α = 117.51°, β = 90.00°, γ = 119.16°
Fractional coordinates of all 11 atoms:
N  0.805  0.047  0.782
N  0.780  0.560  0.667
N  0.220  0.440  0.333
N  0.195  0.953  0.218
N  0.759  0.953  0.218
N  0.241  0.047  0.782
Ac  0.286  0.572  0.802
Ac  0.714  0.428  0.198
C  0.059  0.117  0.253
C  0.941  0.883  0.747
Dy  0.500  0.000  0.500

---

Which formula does entry 6 have? Ac2DyC2N6